First-principles (GGA-PBE) data for Pu2AsRu after structural relaxation, as listed in Alexandria.

Lattice parameters (Å, degrees): 3.6083 3.6083 5.0007 90.00 90.00 90.00
Last column: nearest neighbours and their distance in Å.
Atoms (fractional coordinates):
Pu (0.0000, 0.5000, 0.0000)  4 Pu 2.55
Pu (0.5000, 0.0000, 0.0000)  4 Pu 2.55
As (0.0000, 0.0000, 0.5000)  4 Ru 2.55
Ru (0.5000, 0.5000, 0.5000)  4 As 2.55

DFT formation energy: 0.054 eV per atom
final energy: -10.59 eV/atom
total magnetic moment: 2.13 μB/f.u.

***

First-principles (GGA-PBE) data for Sm2ErPu3Te6 after structural relaxation, as listed in Alexandria.

Lattice parameters (Å, degrees): 9.9019 9.9019 8.8698 103.64 103.64 25.65
Last column: nearest neighbours and their distance in Å.
Atoms (fractional coordinates):
Sm (0.1674, 0.1674, 0.3357)  6 Te 3.13-3.16
Sm (0.8326, 0.8326, 0.6643)  6 Te 3.13-3.16
Er (0.5000, 0.5000, 0.0000)  6 Te 3.07-3.08
Pu (0.1687, 0.1687, 0.8343)  6 Te 3.11-3.14
Pu (0.5000, 0.5000, 0.5000)  6 Te 3.11-3.16
Pu (0.8313, 0.8313, 0.1657)  6 Te 3.11-3.14
Te (0.0010, 0.0010, 0.7566)  2 Er 3.08, 3 Pu 3.14-3.16, 1 Sm 3.16
Te (0.3342, 0.3342, 0.4146)  3 Pu 3.11, 3 Sm 3.13
Te (0.3363, 0.3363, 0.9189)  1 Er 3.07, 3 Pu 3.12-3.14, 2 Sm 3.14
Te (0.6637, 0.6637, 0.0811)  1 Er 3.07, 3 Pu 3.12-3.14, 2 Sm 3.14
Te (0.6658, 0.6658, 0.5854)  3 Pu 3.11, 3 Sm 3.13
Te (0.9990, 0.9990, 0.2434)  2 Er 3.08, 3 Pu 3.14-3.16, 1 Sm 3.16

final energy: -7.55 eV/atom
total magnetic moment: 17.86 μB/f.u.
energy relative to the elements, uncorrected: -1.233 eV/atom

***

First-principles (GGA-PBE) data for ReBSe2Br after structural relaxation, as listed in Alexandria.

Lattice parameters (Å, degrees): 4.7818 4.7818 5.4586 90.00 90.00 90.00
Last column: nearest neighbours and their distance in Å.
Atoms (fractional coordinates):
Re (0.0000, 0.0000, 0.0000)  4 Se 2.39
B (0.5000, 0.5000, 0.5000)  4 Br 3.38, 8 Se 3.63
Se (0.0000, 0.5000, 0.0000)  2 Re 2.39
Se (0.5000, 0.0000, 0.0000)  2 Re 2.39
Br (0.0000, 0.0000, 0.5000)  2 Re 2.73

final energy: -4.31 eV/atom
total magnetic moment: 0.00 μB/f.u.
energy relative to the elements, uncorrected: 1.240 eV/atom
distance to the lowest polymorph of the same formula: 0.000 eV/f.u.

***

First-principles (GGA-PBE) data for KCo2Hg after structural relaxation, as listed in Alexandria.

Lattice parameters (Å, degrees): 3.1087 3.1027 8.2501 90.00 90.08 90.00
Last column: nearest neighbours and their distance in Å.
Atoms (fractional coordinates):
K (0.0000, 0.0000, 0.0000)  4 K 3.10-3.11, 4 Co 3.40-3.41
Co (0.9996, 0.0000, 0.4251)  4 Co 2.37
Co (0.4991, 0.5000, 0.3156)  4 Co 2.37
Hg (0.4996, 0.5000, 0.6602)  5 Co 2.84-2.93, 4 Hg 3.10-3.11

DFT formation energy: 0.439 eV per atom
final energy: -3.46 eV/atom
total magnetic moment: 3.34 μB/f.u.

***

First-principles (GGA-PBE) data for SrBeRe4 after structural relaxation, as listed in Alexandria.

Lattice parameters (Å, degrees): 5.3394 5.3394 5.3394 60.00 60.00 60.00
Last column: nearest neighbours and their distance in Å.
Atoms (fractional coordinates):
Sr (0.0000, 0.0000, 0.0000)  12 Re 3.13, 4 Be 3.27
Be (0.7500, 0.7500, 0.7500)  12 Re 3.13, 4 Sr 3.27
Re (0.3759, 0.3759, 0.3759)  6 Re 2.65-2.69
Re (0.3759, 0.3759, 0.8722)  6 Re 2.65-2.69
Re (0.3759, 0.8722, 0.3759)  6 Re 2.65-2.69
Re (0.8722, 0.3759, 0.3759)  6 Re 2.65-2.69

DFT formation energy: 0.762 eV per atom
final energy: -8.44 eV/atom
total magnetic moment: 0.00 μB/f.u.

***

First-principles (GGA-PBE) data for AcDyC after structural relaxation, as listed in Alexandria.

Lattice parameters (Å, degrees): 6.8531 6.8531 6.8531 151.80 151.80 40.31
Last column: nearest neighbours and their distance in Å.
Atoms (fractional coordinates):
Ac (0.0000, 0.0000, 0.0000)  4 C 2.85, 1 Dy 2.88
Dy (0.7758, 0.7758, 0.0000)  4 C 2.69, 1 Ac 2.88
C (0.3763, 0.3763, 0.0000)  4 Dy 2.69, 4 Ac 2.85

DFT formation energy: 0.435 eV per atom
final energy: -5.54 eV/atom
total magnetic moment: 0.00 μB/f.u.
distance to the lowest polymorph of the same formula: 1.434 eV/f.u.

***

Which value of total magnetic moment does entry 4 give? 3.34 μB/f.u.